Entry from the Alexandria database: a geometry-optimized Cs2CuSn2 structure (GGA-PBE).

Unit cell a=11.416 b=11.416 c=3.584 alpha=90.00 beta=90.00 gamma=90.00
Space group P4/mbm (No. 127)
Asymmetric unit:
Cs: 0.209 0.291 0.000 (multiplicity 4)
Cu: 0.000 0.000 0.500 (multiplicity 2)
Sn: 0.085 0.585 0.500 (multiplicity 4)


Entry from the Alexandria database: a geometry-optimized PaTiZnTc structure (GGA-PBE).

Unit cell a=6.649 b=6.649 c=6.649 alpha=90.00 beta=90.00 gamma=90.00
Space group F-43m (No. 216)
Asymmetric unit:
Pa: 0.000 0.000 0.000 (multiplicity 4)
Ti: 0.000 0.000 0.500 (multiplicity 4)
Zn: 0.250 0.250 0.250 (multiplicity 4)
Tc: 0.250 0.250 0.750 (multiplicity 4)


The DFT formation energy results, record by record, are as follows: 0.389, -0.043 eV/atom.